Entry 1:
A plane-wave DFT calculation with GGA-PBE was carried out for crystalline TbPrInSn at its relaxed geometry.

The space group is Amm2 (No. 38) and the conventional cell measures 4.390, 4.652 and 11.698 Å, with angles of 90.00, 90.00 and 90.00 degrees. The inequivalent atoms are Tb at (0.000, 0.000, 0.000), Pr at (0.500, 0.000, 0.274), In at (0.000, 0.000, 0.721) and Sn at (0.500, 0.000, 0.550).

The formation energy is -2.49 eV/f.u. As for the relative energy among the computed polymorphs: 0.0 meV/atom. As for the volume: 29.86 Å³ per atom.



Entry 2:
A plane-wave DFT calculation with GGA-PBE was carried out for crystalline TbPrInSn at its relaxed geometry.

The space group is F-43m (No. 216) and the conventional cell measures 7.698, 7.698 and 7.698 Å, with angles of 90.00, 90.00 and 90.00 degrees. The inequivalent atoms are Tb at (0.000, 0.000, 0.000), Pr at (0.000, 0.000, 0.500), In at (0.250, 0.250, 0.250) and Sn at (0.250, 0.250, 0.750).

The formation energy is -2.09 eV/f.u. As for the relative energy among the computed polymorphs: 101.0 meV/atom. As for the volume: 28.51 Å³ per atom.



Entry 3:
A plane-wave DFT calculation with GGA-PBE was carried out for crystalline Pr2In3SnTe6 at its relaxed geometry.

The space group is C2/m (No. 12) and the conventional cell measures 20.454, 4.514 and 9.401 Å, with angles of 90.00, 105.59 and 90.00 degrees. The inequivalent atoms are Pr at (0.166, 0.000, 0.333), In at (0.000, 0.500, 0.500), In at (0.168, 0.000, 0.836), Sn at (0.000, 0.500, 0.000), Te at (0.004, 0.000, 0.249), Te at (0.163, 0.500, 0.093) and Te at (0.170, 0.500, 0.576).

The value obtained for the energy relative to the elements, uncorrected is -8.8 eV per formula unit. As for the volume: 34.84 Å³ per atom.



Entry 4:
A plane-wave DFT calculation with GGA-PBE was carried out for crystalline PrThInSn at its relaxed geometry.

The space group is F-43m (No. 216) and the conventional cell measures 7.786, 7.786 and 7.786 Å, with angles of 90.00, 90.00 and 90.00 degrees. The inequivalent atoms are Pr at (0.000, 0.000, 0.000), Th at (0.000, 0.000, 0.500), In at (0.250, 0.250, 0.750) and Sn at (0.250, 0.250, 0.250).

The formation energy is -1.55 eV/f.u. As for the volume: 29.50 Å³ per atom.



Entry 5:
A plane-wave DFT calculation with GGA-PBE was carried out for crystalline PrTmInSn at its relaxed geometry.

The space group is F-43m (No. 216) and the conventional cell measures 7.648, 7.648 and 7.648 Å, with angles of 90.00, 90.00 and 90.00 degrees. The inequivalent atoms are Pr at (0.000, 0.000, 0.000), Tm at (0.000, 0.000, 0.500), In at (0.250, 0.250, 0.750) and Sn at (0.250, 0.250, 0.250).

The formation energy is -1.94 eV/f.u. As for the volume: 27.96 Å³ per atom.



Entry 6:
A plane-wave DFT calculation with GGA-PBE was carried out for crystalline SrPrIn at its relaxed geometry.

The space group is P6_3/mmc (No. 194) and the conventional cell measures 5.6736, 5.6736 and 7.2974 Å, with angles of 90.00, 90.00 and 120.00 degrees. The inequivalent atoms are Sr at (0.0000, 0.0000, 0.0000), Pr at (0.3333, 0.6667, 0.2500) and In at (0.3333, 0.6667, 0.7500).

The formation energy is -1.04 eV/f.u. As for the relative energy among the computed polymorphs: 0.0 meV/atom. As for the volume: 33.90 Å³ per atom.